Entry 1:
Below is crystalline Ca3Pt2Pb3 at its relaxed geometry, with properties calculated at the PBE level.

The structure in extended XYZ format:
```
32
Lattice="7.538 0.000 0.000 0.000 18.677 0.000 0.000 0.000 6.020" Properties=species:S:1:pos:R:3 pbc="T T T"
Ca 0.314 2.082 0.737
Ca 0.314 7.256 0.737
Ca 1.273 4.669 4.095
Ca 2.496 14.007 1.085
Ca 3.456 11.420 3.747
Ca 3.456 16.595 3.747
Ca 4.083 2.082 2.273
Ca 4.083 7.256 2.273
Ca 5.043 4.669 4.935
Ca 6.265 14.007 1.925
Ca 7.225 11.420 5.283
Ca 7.225 16.595 5.283
Pt 0.746 11.806 2.447
Pt 0.746 16.209 2.447
Pt 3.024 2.468 5.457
Pt 3.024 6.870 5.457
Pt 4.515 11.806 0.563
Pt 4.515 16.209 0.563
Pt 6.793 2.468 3.573
Pt 6.793 6.870 3.573
Pb 1.245 14.007 4.124
Pb 1.409 0.636 3.905
Pb 1.409 8.702 3.905
Pb 2.360 9.975 0.895
Pb 2.360 18.040 0.895
Pb 2.524 4.669 1.114
Pb 5.015 14.007 4.906
Pb 5.178 0.636 5.126
Pb 5.178 8.702 5.126
Pb 6.129 9.975 2.115
Pb 6.129 18.040 2.115
Pb 6.293 4.669 1.896
```

## Properties
Symmetry: Pnma
E_form (eV/atom): -0.618
N(E_F) (states/eV/f.u.): 2.991
Volume (Å³/cell): 848
Size of the total moment (μB per cell): 0.000
Crystal system: orthorhombic

---

Entry 2:
Below is crystalline CaPt2Pb at its relaxed geometry, with properties calculated at the PBE level.

The structure in extended XYZ format:
```
8
Lattice="6.651 0.000 0.000 0.000 6.701 0.000 0.000 0.000 3.715" Properties=species:S:1:pos:R:3 pbc="T T T"
Ca 0.000 0.000 0.000
Ca 3.326 3.350 0.000
Pt 1.663 1.675 1.857
Pt 1.663 5.026 1.857
Pt 4.988 1.675 1.857
Pt 4.988 5.026 1.857
Pb 0.000 3.350 0.000
Pb 3.326 0.000 0.000
```

## Properties
Symmetry: Cmmm
E_form (eV/atom): -0.511
N(E_F) (states/eV/f.u.): 2.170
Volume (Å³/cell): 166
Size of the total moment (μB per cell): 0.000
Crystal system: orthorhombic

---

Entry 3:
Below is crystalline CaPt2Pb2 at its relaxed geometry, with properties calculated at the PBE level.

The structure in extended XYZ format:
```
10
Lattice="7.646 0.000 0.000 0.000 7.646 0.000 0.000 0.000 4.009" Properties=species:S:1:pos:R:3 pbc="T T T"
Ca 0.000 0.000 0.000
Ca 3.823 3.823 0.000
Pt 1.014 2.809 0.000
Pt 2.809 6.633 0.000
Pt 4.837 1.014 0.000
Pt 6.633 4.837 0.000
Pb 1.261 5.084 2.004
Pb 2.562 1.261 2.004
Pb 5.084 6.385 2.004
Pb 6.385 2.562 2.004
```

## Properties
Symmetry: P4/mbm
E_form (eV/atom): -0.381
N(E_F) (states/eV/f.u.): 2.318
Volume (Å³/cell): 234
Size of the total moment (μB per cell): 0.000
Crystal system: tetragonal

---

Entry 4:
Below is crystalline CaPt2Pb at its relaxed geometry, with properties calculated at the PBE level.

The structure in extended XYZ format:
```
8
Lattice="5.209 0.000 0.000 0.000 5.206 0.000 -0.074 0.000 6.190" Properties=species:S:1:pos:R:3 pbc="T T T"
Ca 0.000 0.000 0.000
Ca 2.604 2.603 0.000
Pt -0.015 2.603 1.571
Pt 2.545 0.000 4.619
Pt 2.589 0.000 1.571
Pt 5.150 2.603 4.619
Pb -0.037 0.000 3.095
Pb 2.567 2.603 3.095
```

## Properties
Symmetry: C2/m
E_form (eV/atom): -0.478
N(E_F) (states/eV/f.u.): 1.550
Volume (Å³/cell): 168
Size of the total moment (μB per cell): 0.000
Crystal system: monoclinic

---

Entry 5:
Below is crystalline CaPt2Pb2 at its relaxed geometry, with properties calculated at the PBE level.

The structure in extended XYZ format:
```
10
Lattice="8.275 0.000 0.000 0.000 8.275 0.000 0.000 0.000 3.392" Properties=species:S:1:pos:R:3 pbc="T T T"
Ca 0.000 0.000 0.000
Ca 4.137 4.137 0.000
Pt 1.344 2.793 1.696
Pt 2.793 6.930 1.696
Pt 5.481 1.344 1.696
Pt 6.930 5.481 1.696
Pb 1.134 5.271 0.000
Pb 3.003 1.134 0.000
Pb 5.271 7.140 0.000
Pb 7.140 3.003 0.000
```

## Properties
Symmetry: P4/mbm
E_form (eV/atom): -0.253
N(E_F) (states/eV/f.u.): 2.897
Volume (Å³/cell): 232
Size of the total moment (μB per cell): 0.000
Crystal system: tetragonal

---

Entry 6:
Below is crystalline CaPt2Pb2 at its relaxed geometry, with properties calculated at the PBE level.

The structure in extended XYZ format:
```
10
Lattice="5.086 0.000 0.000 0.000 5.086 0.000 0.000 0.000 10.122" Properties=species:S:1:pos:R:3 pbc="T T T"
Ca 0.000 0.000 0.000
Ca 2.543 2.543 5.061
Pt 0.000 2.543 2.531
Pt 0.000 2.543 7.592
Pt 2.543 0.000 2.531
Pt 2.543 0.000 7.592
Pb 0.000 0.000 3.560
Pb 0.000 0.000 6.562
Pb 2.543 2.543 1.501
Pb 2.543 2.543 8.621
```

## Properties
Symmetry: I4/mmm
E_form (eV/atom): -0.324
N(E_F) (states/eV/f.u.): 1.971
Volume (Å³/cell): 262
Size of the total moment (μB per cell): 0.000
Crystal system: tetragonal

---

Entry 7:
Below is crystalline CaPtPb3 at its relaxed geometry, with properties calculated at the PBE level.

The structure in extended XYZ format:
```
5
Lattice="5.464 0.000 0.000 0.000 5.464 0.000 0.000 0.000 5.464" Properties=species:S:1:pos:R:3 pbc="T T T"
Ca 0.000 0.000 0.000
Pt 2.732 2.732 2.732
Pb 0.000 2.732 2.732
Pb 2.732 0.000 2.732
Pb 2.732 2.732 0.000
```

## Properties
Symmetry: Pm-3m
E_form (eV/atom): -0.032
N(E_F) (states/eV/f.u.): 2.202
Volume (Å³/cell): 163
Size of the total moment (μB per cell): 0.000
Crystal system: cubic

---

Entry 8:
Below is crystalline Ca6Pt2Pb at its relaxed geometry, with properties calculated at the PBE level.

The structure in extended XYZ format:
```
18
Lattice="-4.831 4.974 5.463 4.831 -4.974 5.463 4.831 4.974 -5.463" Properties=species:S:1:pos:R:3 pbc="T T T"
Ca 4.831 2.958 -2.834
Ca 2.789 1.779 0.000
Ca 6.872 1.779 0.000
Ca 1.807 4.974 -1.788
Ca 3.024 0.000 3.675
Ca 0.000 2.016 2.629
Ca 4.831 2.958 2.834
Ca 1.807 4.974 1.788
Ca 3.024 0.000 7.251
Ca -2.042 3.196 5.463
Ca 2.042 3.196 5.463
Ca 0.000 2.016 8.296
Pt 4.831 0.000 1.414
Pt 0.000 3.336 0.000
Pt 0.000 6.613 0.000
Pt 0.000 4.974 4.048
Pb 0.000 0.000 0.000
Pb 0.000 0.000 5.463
```

## Properties
Symmetry: Immm
E_form (eV/atom): -0.665
N(E_F) (states/eV/f.u.): 4.925
Volume (Å³/cell): 525
Size of the total moment (μB per cell): 0.000
Crystal system: orthorhombic